[1]
# Ac3BiOs, optimized geometry, DFT PBE-GGA
data_Ac3BiOs
_cell_length_a 5.7772
_cell_length_b 5.7772
_cell_length_c 5.7772
_cell_angle_alpha 90.00
_cell_angle_beta 90.00
_cell_angle_gamma 90.00
_space_group_name_H-M_alt 'P m -3 m'
_space_group_IT_number 221
_space_group_name_Hall '-P 4 2 3'
loop_
_atom_site_label
_atom_site_fract_x
_atom_site_fract_y
_atom_site_fract_z
Ac1 0.0000 0.0000 0.5000
Bi1 0.5000 0.5000 0.5000
Os1 0.0000 0.0000 0.0000
# * formation energy from the elements: -1.41 eV/f.u.

---

[2]
# Ac3BiOs, optimized geometry, DFT PBE-GGA
data_Ac3BiOs
_cell_length_a 9.3289
_cell_length_b 4.6679
_cell_length_c 16.4664
_cell_angle_alpha 90.00
_cell_angle_beta 90.00
_cell_angle_gamma 90.00
_space_group_name_H-M_alt 'P n m a'
_space_group_IT_number 62
loop_
_space_group_symop_operation_xyz
'x,y,z'
'-x,-y,-z'
'-x+1/2,-y,z+1/2'
'x+1/2,y,-z+1/2'
'x+1/2,-y+1/2,-z+1/2'
'-x+1/2,y+1/2,z+1/2'
'-x,y+1/2,-z'
'x,-y+1/2,z'
loop_
_atom_site_label
_atom_site_fract_x
_atom_site_fract_y
_atom_site_fract_z
Ac1 0.0247 0.2500 0.1038
Ac2 0.1581 0.2500 0.5020
Ac3 0.2004 0.7500 0.2885
Bi1 0.0810 0.7500 0.6751
Os1 0.1668 0.2500 0.9390
# * formation energy from the elements: -2.13 eV/f.u.

---

[3]
# AcBi3P, optimized geometry, DFT PBE-GGA
data_AcBi3P
_cell_length_a 5.4969
_cell_length_b 5.4969
_cell_length_c 5.4969
_cell_angle_alpha 90.00
_cell_angle_beta 90.00
_cell_angle_gamma 90.00
_space_group_name_H-M_alt 'P m -3 m'
_space_group_IT_number 221
_space_group_name_Hall '-P 4 2 3'
loop_
_atom_site_label
_atom_site_fract_x
_atom_site_fract_y
_atom_site_fract_z
Ac1 0.0000 0.0000 0.0000
Bi1 0.0000 0.5000 0.5000
P1 0.5000 0.5000 0.5000
# * formation energy from the elements: -0.20 eV/f.u.

---

[4]
# Ac7BiP5, optimized geometry, DFT PBE-GGA
data_Ac7BiP5
_cell_length_a 4.4894
_cell_length_b 14.6675
_cell_length_c 26.5495
_cell_angle_alpha 90.00
_cell_angle_beta 90.00
_cell_angle_gamma 90.00
_space_group_name_H-M_alt 'C m c m'
_space_group_IT_number 63
_space_group_name_Hall '-C 2c 2'
loop_
_atom_site_label
_atom_site_fract_x
_atom_site_fract_y
_atom_site_fract_z
Ac1 0.0000 0.0274 0.2500
Ac2 0.0000 0.1365 0.5341
Ac3 0.0000 0.3239 0.1704
Ac4 0.0000 0.4102 0.6032
Bi1 0.0000 0.2969 0.7500
P1 0.0000 0.0444 0.6426
P2 0.0000 0.2272 0.0722
P3 0.0000 0.5000 0.0000
# * formation energy from the elements: -16.93 eV/f.u.